# CeZr2VO8

A relaxed CeZr2VO8 crystal (GGA+U, Alexandria).

a = 6.8967 Å, b = 6.9826 Å, c = 6.5907 Å
α = 90.00°, β = 90.82°, γ = 90.00°
Space group C2/m (No. 12)
Symmetry-distinct sites (fractional):
Ce 0.0000 0.0000 0.0000 (multiplicity 2)
Zr 0.0034 0.5000 0.7381 (multiplicity 4)
V 0.0000 0.0000 0.5000 (multiplicity 2)
O 0.0000 0.2987 0.5000 (multiplicity 4)
O 0.0000 0.3163 0.0000 (multiplicity 4)
O 0.1876 0.0000 0.7124 (multiplicity 4)
O 0.1931 0.0000 0.2748 (multiplicity 4)

* E_tot: -8.78 eV per atom
* M_tot: 2.00 μB per cell